No. 1
This record from Alexandria via LeMat-Bulk describes a relaxed structure of Na3TcPb3O8. The functional is GGA-PBE.

a b c (Å): 7.0095 7.0095 16.8175
angles (deg): 90.00 90.00 120.00
Space group R-3m (No. 166, hexagonal axes)
Symmetry-distinct sites (fractional):
Na 0.0000 0.5000 0.0000
Tc 0.0000 0.0000 0.5000
Pb 0.0000 0.5000 0.5000
O 0.0000 0.0000 0.2483
O 0.0673 0.5337 0.2324

Computed properties:
Spin magnetization, μB per formula unit: 0.16

=====

No. 2
This record from Alexandria via LeMat-Bulk describes a relaxed structure of NaTcPbO4. The functional is GGA-PBE.

a b c (Å): 5.469 5.784 8.126
angles (deg): 90.00 107.23 90.00
Space group P2_1/m (No. 11)
Symmetry-distinct sites (fractional):
Na 0.164 0.250 0.132
Tc 0.486 0.250 0.833
Pb 0.266 0.750 0.511
O 0.156 0.250 0.807
O 0.279 0.750 0.966
O 0.426 0.531 0.320

Computed properties:
Spin magnetization, μB per formula unit: 0.00

=====

No. 3
This record from Alexandria via LeMat-Bulk describes a relaxed structure of Na3Tc2PbO8. The functional is GGA-PBE.

a b c (Å): 6.0993 6.0993 7.5006
angles (deg): 90.00 90.00 120.00
Space group P-3m1 (No. 164)
Symmetry-distinct sites (fractional):
Na 0.0000 0.0000 0.0000
Na 0.3333 0.6667 0.6600
Tc 0.3333 0.6667 0.1860
Pb 0.0000 0.0000 0.5000
O 0.1741 0.3482 0.2821
O 0.3333 0.6667 0.9504

Computed properties:
Spin magnetization, μB per formula unit: 3.03

=====

No. 4
This record from Alexandria via LeMat-Bulk describes a relaxed structure of Na2TcPbO4. The functional is GGA-PBE.

a b c (Å): 5.852 5.852 7.216
angles (deg): 90.00 90.00 90.00
Space group I-4 (No. 82)
Symmetry-distinct sites (fractional):
Na 0.000 0.000 0.000
Na 0.000 0.500 0.250
Tc 0.000 0.000 0.500
Pb 0.000 0.500 0.750
O 0.206 0.238 0.439

Computed properties:
Spin magnetization, μB per formula unit: 1.02

=====

For reference, E_form (uncorrected) by record: -1308; -1328; -1382; -1241 meV/atom.